Here is a geometry-optimized PrSm2Er7 structure from Alexandria via LeMat-Bulk. Energies are from PBE.

## Properties
The uncorrected energy comes out at -45.95 eV for the cell shown. The density of states at the Fermi level comes out at 13.1 states/eV/cell. The calculation puts the total magnetic moment at 0.00 μB/f.u.

Cell: 6.140 7.951 11.230 Å, 135.14 123.12 58.94°
Sites, in units of the cell vectors:
Pr  0.000  0.000  0.000
Sm  0.500  0.900  0.600
Sm  0.500  0.100  0.400
Er  0.000  0.601  0.400
Er  0.000  0.399  0.600
Er  0.500  0.700  0.800
Er  0.500  0.300  0.200
Er  0.000  0.799  0.200
Er  0.000  0.201  0.800
Er  0.500  0.500  0.000

---

Here is a geometry-optimized Pr10Sm4Er structure from Alexandria via LeMat-Bulk. Energies are from PBE.

## Properties
The uncorrected energy comes out at -60.94 eV for the cell shown. The density of states at the Fermi level comes out at 24.0 states/eV/cell. The calculation puts the total magnetic moment at 0.00 μB/f.u.

Cell: 7.900 9.684 9.684 Å, 80.42 65.93 65.93°
Sites, in units of the cell vectors:
Pr  0.250  0.500  0.500
Pr  0.653  0.298  0.900
Pr  0.049  0.100  0.298
Pr  0.448  0.900  0.702
Pr  0.851  0.702  0.100
Pr  0.347  0.702  0.100
Pr  0.750  0.500  0.500
Pr  0.149  0.298  0.900
Pr  0.552  0.100  0.298
Pr  0.951  0.900  0.702
Sm  0.400  0.801  0.400
Sm  0.799  0.600  0.801
Sm  0.201  0.400  0.199
Sm  0.600  0.199  0.600
Er  0.000  0.000  0.000

---

Here is a geometry-optimized PrSm2Er2 structure from Alexandria via LeMat-Bulk. Energies are from PBE.

## Properties
The uncorrected energy comes out at -46.11 eV for the cell shown. The density of states at the Fermi level comes out at 17.0 states/eV/cell. The calculation puts the total magnetic moment at 0.00 μB/f.u.

Cell: 6.726 10.121 8.783 Å, 139.14 112.49 87.89°
Sites, in units of the cell vectors:
Pr  0.211  0.500  0.421
Pr  0.789  0.500  0.579
Sm  0.293  0.001  0.083
Sm  0.150  0.248  0.554
Sm  0.850  0.752  0.446
Sm  0.707  0.999  0.917
Er  0.651  0.749  0.054
Er  0.251  0.750  0.249
Er  0.349  0.251  0.946
Er  0.749  0.250  0.751

---

Here is a geometry-optimized PrSm6Er3 structure from Alexandria via LeMat-Bulk. Energies are from PBE.

## Properties
The uncorrected energy comes out at -91.02 eV for the cell shown. The density of states at the Fermi level comes out at 29.2 states/eV/cell. The calculation puts the total magnetic moment at 0.00 μB/f.u.

Cell: 6.450 11.703 11.703 Å, 130.76 90.00 90.00°
Sites, in units of the cell vectors:
Pr  0.006  0.159  0.841
Pr  0.506  0.841  0.159
Sm  0.077  0.737  0.620
Sm  0.577  0.620  0.737
Sm  0.330  0.456  0.893
Sm  0.830  0.893  0.456
Sm  0.298  0.985  0.015
Sm  0.798  0.301  0.699
Sm  0.298  0.699  0.301
Sm  0.798  0.015  0.985
Sm  0.330  0.107  0.544
Sm  0.830  0.544  0.107
Sm  0.077  0.380  0.263
Sm  0.577  0.263  0.380
Er  0.485  0.957  0.704
Er  0.985  0.704  0.957
Er  0.099  0.418  0.582
Er  0.599  0.582  0.418
Er  0.985  0.043  0.296
Er  0.485  0.296  0.043

---

Here is a geometry-optimized Pr7Sm3Er structure from Alexandria via LeMat-Bulk. Energies are from PBE.

## Properties
The uncorrected energy comes out at -49.73 eV for the cell shown. The density of states at the Fermi level comes out at 15.7 states/eV/cell. The calculation puts the total magnetic moment at 0.00 μB/f.u.

Cell: 6.005 8.665 8.665 Å, 82.97 110.22 110.22°
Sites, in units of the cell vectors:
Pr  0.211  0.210  0.210
Pr  0.306  0.015  0.598
Pr  0.694  0.402  0.985
Pr  0.306  0.598  0.015
Pr  0.000  0.500  0.500
Pr  0.694  0.985  0.402
Pr  0.789  0.790  0.790
Sm  0.000  0.793  0.207
Sm  0.500  0.000  0.000
Sm  0.000  0.207  0.793
Er  0.500  0.500  0.500

---

Here is a geometry-optimized PrSmEr5 structure from Alexandria via LeMat-Bulk. Energies are from PBE.

## Properties
The uncorrected energy comes out at -24.52 eV for the cell shown. The density of states at the Fermi level comes out at 9.4 states/eV/cell. The calculation puts the total magnetic moment at 0.00 μB/f.u.

Cell: 5.744 7.844 7.844 Å, 66.73 68.52 68.52°
Sites, in units of the cell vectors:
Pr  0.000  0.000  0.000
Sm  0.500  0.500  0.500
Er  0.500  0.179  0.821
Er  0.500  0.821  0.179
Er  0.746  0.254  0.254
Er  0.254  0.746  0.746
Er  0.000  0.500  0.500

---

Here is a geometry-optimized Pr7Sm3Er2 structure from Alexandria via LeMat-Bulk. Energies are from PBE.

## Properties
The uncorrected energy comes out at -55.63 eV for the cell shown. The density of states at the Fermi level comes out at 16.9 states/eV/cell. The calculation puts the total magnetic moment at 0.00 μB/f.u.

Cell: 3.637 5.978 19.887 Å, 103.97 90.00 90.00°
Sites, in units of the cell vectors:
Pr  0.500  0.722  0.465
Pr  0.500  0.278  0.535
Pr  0.000  0.467  0.146
Pr  0.000  0.000  0.000
Pr  0.000  0.533  0.854
Pr  0.500  0.998  0.816
Pr  0.500  0.002  0.184
Sm  0.500  0.500  0.000
Sm  0.000  0.149  0.366
Sm  0.000  0.851  0.634
Er  0.500  0.589  0.297
Er  0.500  0.411  0.703

---

Here is a geometry-optimized Pr6SmEr12 structure from Alexandria via LeMat-Bulk. Energies are from PBE.

## Properties
The uncorrected energy comes out at -85.83 eV for the cell shown. The density of states at the Fermi level comes out at 29.8 states/eV/cell. The calculation puts the total magnetic moment at 0.00 μB/f.u.

Cell: 8.672 8.672 8.672 Å, 79.63 79.63 79.63°
Sites, in units of the cell vectors:
Pr  0.768  0.768  0.165
Pr  0.835  0.232  0.232
Pr  0.232  0.835  0.232
Pr  0.232  0.232  0.835
Pr  0.165  0.768  0.768
Pr  0.768  0.165  0.768
Sm  0.000  0.000  0.000
Er  0.804  0.486  0.486
Er  0.486  0.804  0.486
Er  0.486  0.486  0.804
Er  0.196  0.514  0.514
Er  0.514  0.196  0.514
Er  0.514  0.514  0.196
Er  0.138  0.138  0.482
Er  0.862  0.518  0.862
Er  0.518  0.862  0.862
Er  0.862  0.862  0.518
Er  0.138  0.482  0.138
Er  0.482  0.138  0.138

---

Here is a geometry-optimized PrSm12Er6 structure from Alexandria via LeMat-Bulk. Energies are from PBE.

## Properties
The uncorrected energy comes out at -86.11 eV for the cell shown. The density of states at the Fermi level comes out at 32.1 states/eV/cell. The calculation puts the total magnetic moment at 0.00 μB/f.u.

Cell: 8.611 8.611 8.611 Å, 88.81 88.81 88.81°
Sites, in units of the cell vectors:
Pr  0.000  0.000  0.000
Sm  0.779  0.538  0.433
Sm  0.433  0.779  0.538
Sm  0.538  0.433  0.779
Sm  0.221  0.462  0.567
Sm  0.567  0.221  0.462
Sm  0.462  0.567  0.221
Sm  0.015  0.200  0.361
Sm  0.800  0.639  0.985
Sm  0.639  0.985  0.800
Sm  0.985  0.800  0.639
Sm  0.200  0.361  0.015
Sm  0.361  0.015  0.200
Er  0.742  0.902  0.303
Er  0.697  0.258  0.098
Er  0.098  0.697  0.258
Er  0.258  0.098  0.697
Er  0.303  0.742  0.902
Er  0.902  0.303  0.742

---

Here is a geometry-optimized PrSmEr6 structure from Alexandria via LeMat-Bulk. Energies are from PBE.

## Properties
The uncorrected energy comes out at -33.92 eV for the cell shown. The density of states at the Fermi level comes out at 11.7 states/eV/cell. The calculation puts the total magnetic moment at 0.00 μB/f.u.

Cell: 6.091 6.091 9.323 Å, 86.52 117.03 113.41°
Sites, in units of the cell vectors:
Pr  0.500  0.000  0.500
Sm  0.000  0.000  0.000
Er  0.359  0.457  0.298
Er  0.842  0.939  0.298
Er  0.158  0.061  0.702
Er  0.641  0.543  0.702
Er  0.701  0.375  0.077
Er  0.299  0.625  0.923

---

Here is a geometry-optimized Pr3Sm2Er structure from Alexandria via LeMat-Bulk. Energies are from PBE.

## Properties
The uncorrected energy comes out at -55.38 eV for the cell shown. The density of states at the Fermi level comes out at 20.1 states/eV/cell. The calculation puts the total magnetic moment at 0.00 μB/f.u.

Cell: 3.582 6.957 17.805 Å, 79.39 84.23 75.08°
Sites, in units of the cell vectors:
Pr  0.065  0.039  0.831
Pr  0.935  0.961  0.169
Pr  0.626  0.739  0.009
Pr  0.374  0.261  0.991
Pr  0.732  0.872  0.663
Pr  0.268  0.128  0.337
Sm  0.802  0.560  0.835
Sm  0.198  0.440  0.165
Sm  0.631  0.238  0.501
Sm  0.369  0.762  0.499
Er  0.458  0.403  0.681
Er  0.542  0.597  0.319

---

Here is a geometry-optimized Pr5Sm2Er3 structure from Alexandria via LeMat-Bulk. Energies are from PBE.

## Properties
The uncorrected energy comes out at -90.51 eV for the cell shown. The density of states at the Fermi level comes out at 34.9 states/eV/cell. The calculation puts the total magnetic moment at 0.00 μB/f.u.

Cell: 10.092 10.110 9.251 Å, 108.46 108.38 114.91°
Sites, in units of the cell vectors:
Pr  0.227  0.477  0.955
Pr  0.773  0.523  0.045
Pr  0.981  0.731  0.462
Pr  0.479  0.229  0.457
Pr  0.019  0.269  0.538
Pr  0.521  0.771  0.543
Pr  0.880  0.626  0.758
Pr  0.120  0.374  0.242
Pr  0.378  0.132  0.758
Pr  0.622  0.868  0.242
Sm  0.974  0.032  0.758
Sm  0.026  0.968  0.242
Sm  0.284  0.726  0.758
Sm  0.716  0.274  0.242
Er  0.271  0.021  0.042
Er  0.729  0.979  0.958
Er  0.524  0.467  0.248
Er  0.476  0.533  0.752
Er  0.224  0.780  0.248
Er  0.776  0.220  0.752

---

Here is a geometry-optimized Pr7Sm2Er4 structure from Alexandria via LeMat-Bulk. Energies are from PBE.

## Properties
The uncorrected energy comes out at -58.87 eV for the cell shown. The density of states at the Fermi level comes out at 16.1 states/eV/cell. The calculation puts the total magnetic moment at 0.00 μB/f.u.

Cell: 6.245 6.245 13.236 Å, 90.00 90.00 120.00°
Sites, in units of the cell vectors:
Pr  0.000  0.626  0.774
Pr  0.000  0.374  0.226
Pr  0.000  0.000  0.000
Pr  0.626  0.000  0.774
Pr  0.374  0.000  0.226
Pr  0.626  0.626  0.226
Pr  0.374  0.374  0.774
Sm  0.667  0.333  0.000
Sm  0.333  0.667  0.000
Er  0.000  0.000  0.607
Er  0.000  0.000  0.393
Er  0.667  0.333  0.500
Er  0.333  0.667  0.500

---

Here is a geometry-optimized PrSmEr structure from Alexandria via LeMat-Bulk. Energies are from PBE.

## Properties
The uncorrected energy comes out at -13.99 eV for the cell shown. The density of states at the Fermi level comes out at 4.4 states/eV/cell. The calculation puts the total magnetic moment at 0.00 μB/f.u.

Cell: 3.626 3.626 8.069 Å, 102.98 102.98 90.00°
Sites, in units of the cell vectors:
Pr  0.332  0.332  0.664
Sm  0.003  0.003  0.005
Er  0.666  0.666  0.331

---

Here is a geometry-optimized PrSm4Er10 structure from Alexandria via LeMat-Bulk. Energies are from PBE.

## Properties
The uncorrected energy comes out at -60.82 eV for the cell shown. The density of states at the Fermi level comes out at 28.1 states/eV/cell. The calculation puts the total magnetic moment at 0.00 μB/f.u.

Cell: 6.450 9.661 9.661 Å, 83.60 70.50 70.50°
Sites, in units of the cell vectors:
Pr  0.000  0.000  0.000
Sm  0.432  0.895  0.240
Sm  0.672  0.760  0.895
Sm  0.328  0.240  0.105
Sm  0.568  0.105  0.760
Er  0.250  0.500  0.500
Er  0.621  0.423  0.837
Er  0.957  0.163  0.423
Er  0.543  0.837  0.577
Er  0.880  0.577  0.163
Er  0.379  0.577  0.163
Er  0.750  0.500  0.500
Er  0.120  0.423  0.837
Er  0.457  0.163  0.423
Er  0.043  0.837  0.577

---

Here is a geometry-optimized Pr5Sm5Er2 structure from Alexandria via LeMat-Bulk. Energies are from PBE.

## Properties
The uncorrected energy comes out at -56.41 eV for the cell shown. The density of states at the Fermi level comes out at 18.3 states/eV/cell. The calculation puts the total magnetic moment at 0.00 μB/f.u.

Cell: 5.152 8.153 10.939 Å, 72.61 76.38 71.58°
Sites, in units of the cell vectors:
Pr  0.835  0.830  0.499
Pr  0.252  0.747  0.750
Pr  0.748  0.253  0.250
Pr  0.165  0.170  0.501
Pr  0.000  0.000  0.000
Sm  0.500  0.500  0.500
Sm  0.333  0.334  0.000
Sm  0.419  0.914  0.249
Sm  0.581  0.086  0.751
Sm  0.667  0.666  0.000
Er  0.916  0.415  0.752
Er  0.084  0.585  0.248

---

Here is a geometry-optimized Pr4SmEr5 structure from Alexandria via LeMat-Bulk. Energies are from PBE.

## Properties
The uncorrected energy comes out at -44.29 eV for the cell shown. The density of states at the Fermi level comes out at 12.7 states/eV/cell. The calculation puts the total magnetic moment at 0.00 μB/f.u.

Cell: 5.991 8.138 8.138 Å, 82.21 68.40 68.40°
Sites, in units of the cell vectors:
Pr  0.465  0.324  0.676
Pr  0.789  0.676  0.676
Pr  0.140  0.324  0.324
Pr  0.465  0.676  0.324
Sm  0.205  0.000  0.000
Er  0.752  0.378  0.000
Er  0.130  0.000  0.622
Er  0.753  0.000  0.378
Er  0.130  0.622  0.000
Er  0.681  0.000  0.000

---

Here is a geometry-optimized PrSm3Er2 structure from Alexandria via LeMat-Bulk. Energies are from PBE.

## Properties
The uncorrected energy comes out at -56.13 eV for the cell shown. The density of states at the Fermi level comes out at 14.9 states/eV/cell. The calculation puts the total magnetic moment at 0.00 μB/f.u.

Cell: 7.257 10.307 7.258 Å, 79.92 119.97 121.80°
Sites, in units of the cell vectors:
Pr  0.256  0.003  0.251
Pr  0.744  0.997  0.749
Sm  0.253  0.002  0.752
Sm  0.747  0.998  0.248
Sm  0.804  0.664  0.861
Sm  0.195  0.336  0.639
Sm  0.805  0.664  0.361
Sm  0.196  0.336  0.139
Er  0.302  0.664  0.359
Er  0.301  0.665  0.860
Er  0.699  0.335  0.140
Er  0.698  0.336  0.641

---

Here is a geometry-optimized PrSm8Er5 structure from Alexandria via LeMat-Bulk. Energies are from PBE.

## Properties
The uncorrected energy comes out at -61.97 eV for the cell shown. The density of states at the Fermi level comes out at 21.2 states/eV/cell. The calculation puts the total magnetic moment at 0.00 μB/f.u.

Cell: 8.518 8.518 8.518 Å, 111.68 105.13 111.68°
Sites, in units of the cell vectors:
Pr  0.250  0.500  0.750
Sm  0.164  0.736  0.077
Sm  0.923  0.087  0.659
Sm  0.722  0.255  0.327
Sm  0.673  0.395  0.927
Sm  0.532  0.605  0.278
Sm  0.572  0.913  0.836
Sm  0.341  0.264  0.428
Sm  0.073  0.745  0.468
Er  0.040  0.317  0.134
Er  0.866  0.906  0.183
Er  0.817  0.683  0.723
Er  0.500  0.000  0.500
Er  0.277  0.094  0.960

---

Here is a geometry-optimized Pr8Sm2Er structure from Alexandria via LeMat-Bulk. Energies are from PBE.

## Properties
The uncorrected energy comes out at -50.52 eV for the cell shown. The density of states at the Fermi level comes out at 18.2 states/eV/cell. The calculation puts the total magnetic moment at 0.00 μB/f.u.

Cell: 6.827 10.396 10.396 Å, 38.87 60.02 60.02°
Sites, in units of the cell vectors:
Pr  0.232  0.348  0.823
Pr  0.768  0.177  0.652
Pr  0.168  0.756  0.756
Pr  0.832  0.244  0.244
Pr  0.232  0.823  0.348
Pr  0.768  0.652  0.177
Pr  0.730  0.594  0.594
Pr  0.270  0.406  0.406
Sm  0.579  0.807  0.807
Sm  0.421  0.193  0.193
Er  0.000  0.000  0.000